[1]
Below is a geometry-optimized MgCdAg2 structure, with properties calculated at the PBE-GGA level.

Computed properties:
**N(E_F)**: 0.212 states/eV/atom
**E**: -2.166 eV/atom

Cell lengths 6.7206, 6.7206, 6.7206 Å; angles 90.00, 90.00, 90.00 degrees
Last column: nearest neighbours and their distance in Å.
Space group F-43m (No. 216)
Symmetry-distinct sites (fractional):
Mg1 0.0000 0.0000 0.0000 x4  4 Cd 2.91, 4 Ag 2.91
Cd1 0.2500 0.2500 0.7500 x4  4 Mg 2.91, 4 Ag 2.91
Ag1 0.0000 0.0000 0.5000 x4  4 Cd 2.91, 4 Ag 2.91
Ag2 0.2500 0.2500 0.2500 x4  4 Mg 2.91, 4 Ag 2.91

***

[2]
Below is a geometry-optimized NaMgRu3 structure, with properties calculated at the PBE-GGA level.

Computed properties:
**N(E_F)**: 1.359 states/eV/atom
**Energy above the lowest structure with this stoichiometry**: 0 meV per atom
**E**: -4.410 eV/atom

Cell lengths 4.6375, 4.6375, 4.6375 Å; angles 90.00, 90.00, 90.00 degrees
Last column: nearest neighbours and their distance in Å.
Space group Pm-3m (No. 221)
Symmetry-distinct sites (fractional):
Na1 0.0000 0.0000 0.0000 x1  12 Ru 3.28
Mg1 0.5000 0.5000 0.5000 x1  6 Ru 2.32
Ru1 0.0000 0.5000 0.5000 x3  2 Mg 2.32